# 1
Material: Ac2LaMg6
Method: DFT, PBE
State: optimized geometry

D(E_F) = 10.15 states/eV per cell
Crystal system = hexagonal
Space-group type = P6/mmm (191)
Calculated total energy = -2.60 eV per atom
M_tot = 0.001 μB/f.u.
Formation energy from the elements = -1.78 kcal/mol of atoms

Unit cell a=9.3752 b=9.3752 c=3.6184 alpha=90.00 beta=90.00 gamma=120.00
Fractional positions:
Ac (0.3333, 0.6667, 0.0000)
Ac (0.6667, 0.3333, 0.0000)
La (0.0000, 0.0000, 0.0000)
Mg (0.0000, 0.3293, 0.5000)
Mg (0.0000, 0.6707, 0.5000)
Mg (0.3293, 0.0000, 0.5000)
Mg (0.3293, 0.3293, 0.5000)
Mg (0.6707, 0.0000, 0.5000)
Mg (0.6707, 0.6707, 0.5000)



# 2
Material: Ti6Tl2N
Method: DFT, PBE
State: optimized geometry

D(E_F) = 16.77 states/eV per cell
Crystal system = cubic
Space-group type = Fm-3m (225)
Calculated total energy = -7.11 eV per atom
M_tot = 0.074 μB/f.u.
Energy relative to the lowest polymorph listed for this composition = 0 meV per atom

Unit cell a=5.9428 b=5.9428 c=5.9428 alpha=60.00 beta=60.00 gamma=60.00
Fractional positions:
Ti (0.2457, 0.2457, 0.7543)
Ti (0.2457, 0.7543, 0.2457)
Ti (0.2457, 0.7543, 0.7543)
Ti (0.7543, 0.2457, 0.2457)
Ti (0.7543, 0.2457, 0.7543)
Ti (0.7543, 0.7543, 0.2457)
Tl (0.2500, 0.2500, 0.2500)
Tl (0.7500, 0.7500, 0.7500)
N (0.5000, 0.5000, 0.5000)